The following is a DFT calculation (GGA+U) of a geometry-optimized CrOs3O structure.

Cell: 4.0880 4.0880 4.0880 Å, 90.00 90.00 90.00°
Closest atoms and distances in Å follow each position.
Space group Pm-3m (No. 221)
Inequivalent atoms, fractional coordinates:
Cr  0.0000  0.0000  0.0000 [1 per cell]  12 Os 2.89
Os  0.0000  0.5000  0.5000 [3 per cell]  2 O 2.04
O  0.5000  0.5000  0.5000 [1 per cell]  6 Os 2.04

- VASP energy (eV for the cell shown) = -41.74